First-principles (SCAN) data for Ca2SbTeOs at its PBEsol-relaxed geometry, as listed in Alexandria via LeMat-Bulk.

## Properties
**Formation energy from raw total energies**: 0.960 eV per atom
**Total moment**: 3.0 μB/cell
**DOS at the Fermi energy**: 1.9 states/eV per cell
**Total DFT energy (no corrections)**: -32.18 eV/atom

Cell: 5.733 5.733 5.610 Å, 90.00 90.00 90.00°
Space group P4/mmm (No. 123)
One atom of each set of equivalent atoms:
1 Ca 0.000 0.500 0.000 [2 per cell]
2 Sb 0.000 0.000 0.000 [1 per cell]
3 Te 0.000 0.000 0.500 [1 per cell]
4 Os 0.500 0.500 0.500 [1 per cell]